No. 1
First-principles (PBE-GGA) data for an optimized crystal structure of PaPd4Au2, as listed in Alexandria.

## Properties
crystal system = triclinic
theoretical density = 13.9 Mg/m³
DFT formation energy = -0.43 eV per atom
density of states at the Fermi level = 8.662 states/eV/cell

Structure (extended XYZ):
```
14
Lattice="-5.221 0.832 -1.340 2.727 -5.941 -3.030 -0.363 1.308 9.506" Properties=species:S:1:pos:R:3 pbc="T T T"
Pa 1.032 -3.470 2.236
Pa -3.246 -2.862 5.183
Pd 0.083 -0.585 2.293
Pd -0.603 -1.940 -0.011
Pd -1.672 -2.878 2.829
Pd -3.908 0.149 5.918
Pd -2.588 -0.561 1.583
Pd -1.243 0.333 6.893
Pd 0.403 -2.157 4.788
Pd -3.079 -2.891 -1.505
Au -1.877 -0.363 4.192
Au -1.615 -4.508 0.456
Au -3.098 -0.032 -1.137
Au -0.391 -3.805 -2.093
```



No. 2
First-principles (PBE-GGA) data for an optimized crystal structure of PaPdAu, as listed in Alexandria.

## Properties
crystal system = tetragonal
theoretical density = 14.2 Mg/m³
DFT formation energy = -0.46 eV per atom
density of states at the Fermi level = 3.422 states/eV/cell

Structure (extended XYZ):
```
3
Lattice="-2.056 0.426 3.034 -2.478 -2.380 -1.345 4.514 -2.501 1.167" Properties=species:S:1:pos:R:3 pbc="T T T"
Pa 1.518 -2.349 1.359
Au -1.525 -2.124 1.508
Pd -0.032 -4.435 2.845
```



No. 3
First-principles (PBE-GGA) data for an optimized crystal structure of Pa2Pd2Au, as listed in Alexandria.

## Properties
crystal system = orthorhombic
theoretical density = 14.1 Mg/m³
DFT formation energy = -0.43 eV per atom
density of states at the Fermi level = 6.214 states/eV/cell

Structure (extended XYZ):
```
5
Lattice="4.137 0.998 -0.644 -0.682 3.130 0.467 -1.098 0.276 7.746" Properties=species:S:1:pos:R:3 pbc="T T T"
Pa 0.356 2.505 6.159
Pa 2.001 1.899 1.411
Pd 2.504 1.596 4.169
Pd -0.147 2.807 3.400
Au 0.000 0.000 0.000
```



No. 4
First-principles (PBE-GGA) data for an optimized crystal structure of PaPdAu, as listed in Alexandria.

## Properties
crystal system = hexagonal
theoretical density = 14.7 Mg/m³
DFT formation energy = -0.52 eV per atom
density of states at the Fermi level = 4.265 states/eV/cell

Structure (extended XYZ):
```
3
Lattice="4.744 0.000 0.000 -2.372 4.108 0.000 0.000 0.000 3.105" Properties=species:S:1:pos:R:3 pbc="T T T"
Pa 2.372 1.369 1.035
Au 0.000 2.739 2.586
Pd 0.000 0.000 2.589
```



> DFT formation energy of number 1 (PaPd4Au2)?

-0.43 eV per atom



> Which value of DFT formation energy does entry 1 give?

-0.43 eV per atom



> The lowest density of states at the Fermi level belongs to which entry?

number 2